VASP calculation (PBE) on a relaxed structure of LiZnCo2.

## Properties
- ΔE_f: 103 meV per atom
- Symmetry: R-3m
- Uncorrected energy: -4.25 eV per atom
- Spin magnetization: 3.041 μB/cell

Unit cell a=8.834 b=8.834 c=8.834 alpha=16.51 beta=16.51 gamma=16.51
Fractional coordinates of all 4 atoms:
Co 0.000 0.000 0.000
Co 0.500 0.500 0.500
Zn 0.750 0.750 0.750
Li 0.250 0.250 0.250

***

VASP calculation (PBE) on a relaxed structure of Dy3Y7Er.

## Properties
- ΔE_f: 198 meV per atom
- ΔE to the lowest computed polymorph: 0 meV per atom
- Symmetry: P3m1
- Uncorrected energy: -5.59 eV per atom
- Spin magnetization: 0.000 μB/cell

Unit cell a=8.588 b=7.072 c=7.072 alpha=120.00 beta=90.00 gamma=90.00
Fractional coordinates of all 11 atoms:
Y 0.118 0.667 0.333
Y 0.450 0.335 0.168
Y 0.117 0.664 0.832
Y 0.117 0.168 0.832
Y 0.117 0.168 0.336
Y 0.450 0.832 0.665
Y 0.450 0.832 0.168
Dy 0.782 0.001 0.500
Dy 0.782 0.500 0.500
Dy 0.782 0.500 0.999
Er 0.448 0.333 0.667

***

VASP calculation (PBE) on a relaxed structure of Tm10Ge3Sb3.

## Properties
- Symmetry: P-62m
- E_form (uncorrected): -13.14 eV/f.u.
- Uncorrected energy: -5.25 eV per atom
- Spin magnetization: 0.000 μB/cell

Unit cell a=6.267 b=8.616 c=8.616 alpha=120.00 beta=90.00 gamma=90.00
Fractional coordinates of all 16 atoms:
Tm 0.000 0.241 0.000
Tm 0.743 0.667 0.333
Tm 0.257 0.333 0.667
Tm 0.257 0.667 0.333
Tm 0.500 0.000 0.757
Tm 0.000 0.000 0.241
Tm 0.500 0.243 0.243
Tm 0.500 0.757 0.000
Tm 0.743 0.333 0.667
Tm 0.000 0.759 0.759
Sb 0.000 0.396 0.396
Sb 0.000 0.000 0.604
Sb 0.000 0.604 0.000
Ge 0.500 0.390 0.000
Ge 0.500 0.610 0.610
Ge 0.500 0.000 0.390

***

VASP calculation (PBE) on a relaxed structure of Ce2DyGa3Pt4.

## Properties
- ΔE_f: -932 meV per atom
- Symmetry: P-4m2
- Uncorrected energy: -5.90 eV per atom
- Spin magnetization: 1.885 μB/cell

Unit cell a=4.225 b=4.225 c=11.524 alpha=90.00 beta=90.00 gamma=90.00
Fractional coordinates of all 10 atoms:
Ga 0.500 0.000 0.876
Ga 0.000 0.500 0.124
Ga 0.000 0.000 0.500
Ce 0.500 0.000 0.231
Ce 0.000 0.500 0.769
Pt 0.000 0.500 0.340
Pt 0.500 0.000 0.660
Pt 0.000 0.000 0.000
Pt 0.500 0.500 0.000
Dy 0.500 0.500 0.500

***

VASP calculation (PBE) on a relaxed structure of K7AuBr2O2.

## Properties
- Symmetry: Imm2
- E_form (uncorrected): -13.27 eV/f.u.
- Uncorrected energy: -3.12 eV per atom
- Spin magnetization: 0.198 μB/cell

Unit cell a=4.739 b=7.014 c=13.198 alpha=105.41 beta=100.34 gamma=90.00
Fractional coordinates of all 12 atoms:
K 0.294 0.379 0.588
K 0.114 0.497 0.228
K 0.886 0.269 0.772
K 0.413 0.804 0.827
K 0.500 0.443 0.000
K 0.587 0.977 0.173
K 0.706 0.791 0.412
Br 0.705 0.291 0.409
Br 0.295 0.882 0.591
O 0.602 0.647 0.204
O 0.398 0.443 0.796
Au 0.000 0.076 0.000

***

VASP calculation (PBE) on a relaxed structure of KSnBi2.

## Properties
- ΔE_f: -30 meV per atom
- Symmetry: R3m
- Uncorrected energy: -3.25 eV per atom
- Spin magnetization: 0.000 μB/cell

Unit cell a=4.211 b=4.211 c=9.842 alpha=77.65 beta=77.65 gamma=60.00
Fractional coordinates of all 4 atoms:
Sn 0.667 0.667 0.000
K 0.501 0.501 0.498
Bi 0.067 0.067 0.798
Bi 0.266 0.266 0.203

***

VASP calculation (PBE) on a relaxed structure of Nd5Sm2Ge4.

## Properties
- ΔE_f: -395 meV per atom
- Symmetry: C2/m
- Uncorrected energy: -5.10 eV per atom
- Spin magnetization: 0.000 μB/cell

Unit cell a=4.243 b=6.549 c=13.175 alpha=111.40 beta=99.27 gamma=90.00
Fractional coordinates of all 11 atoms:
Nd 0.500 0.000 0.000
Nd 0.113 0.774 0.226
Nd 0.126 0.319 0.252
Nd 0.887 0.226 0.774
Nd 0.874 0.681 0.748
Sm 0.275 0.801 0.550
Sm 0.725 0.199 0.450
Ge 0.310 0.336 0.620
Ge 0.013 0.337 0.026
Ge 0.987 0.663 0.974
Ge 0.690 0.664 0.380

***

VASP calculation (PBE) on a relaxed structure of La4TcCl2.

## Properties
- Symmetry: Cmcm
- E_form (uncorrected): -6.04 eV/f.u.
- Uncorrected energy: -5.69 eV per atom
- Spin magnetization: 0.000 μB/cell

Unit cell a=3.849 b=7.164 c=15.091 alpha=90.00 beta=90.00 gamma=105.58
Fractional coordinates of all 14 atoms:
Tc 0.590 0.180 0.750
Tc 0.410 0.820 0.250
Cl 0.150 0.300 0.069
Cl 0.850 0.700 0.931
Cl 0.150 0.300 0.431
Cl 0.850 0.700 0.569
La 0.818 0.635 0.368
La 0.059 0.118 0.250
La 0.500 0.000 0.500
La 0.182 0.365 0.632
La 0.182 0.365 0.868
La 0.941 0.882 0.750
La 0.818 0.635 0.132
La 0.500 0.000 0.000

***

VASP calculation (PBE) on a relaxed structure of Nb2AlV2.

## Properties
- ΔE_f: -77 meV per atom
- ΔE to the lowest computed polymorph: 0 meV per atom
- Symmetry: C2/m
- Uncorrected energy: -8.50 eV per atom
- Spin magnetization: 0.000 μB/cell

Unit cell a=4.330 b=5.597 c=7.393 alpha=109.87 beta=107.03 gamma=90.00
Fractional coordinates of all 10 atoms:
Nb 0.393 0.866 0.787
Nb 0.607 0.634 0.213
Nb 0.393 0.366 0.787
Nb 0.607 0.134 0.213
V 0.209 0.047 0.419
V 0.791 0.953 0.581
V 0.209 0.547 0.419
V 0.791 0.453 0.581
Al 0.000 0.750 0.000
Al 0.000 0.250 0.000

***

VASP calculation (PBE) on a relaxed structure of NiHgP3.

## Properties
- ΔE_f: 634 meV per atom
- ΔE to the lowest computed polymorph: 0 meV per atom
- Symmetry: Pm-3m
- Uncorrected energy: -3.83 eV per atom
- Spin magnetization: 0.000 μB/cell

Unit cell a=4.493 b=4.493 c=4.493 alpha=90.00 beta=90.00 gamma=90.00
Fractional coordinates of all 5 atoms:
P 0.000 0.000 0.500
P 0.500 0.000 0.000
P 0.000 0.500 0.000
Ni 0.000 0.000 0.000
Hg 0.500 0.500 0.500

***

VASP calculation (PBE) on a relaxed structure of SrLiCl3.

## Properties
- ΔE to the lowest computed polymorph: 13 meV per atom
- Symmetry: Ama2
- E_form (uncorrected): -10.89 eV/f.u.
- Uncorrected energy: -4.01 eV per atom
- Spin magnetization: 0.000 μB/cell

Unit cell a=4.549 b=6.560 c=10.145 alpha=108.86 beta=90.00 gamma=90.00
Fractional coordinates of all 10 atoms:
Sr 0.750 0.360 0.319
Sr 0.250 0.041 0.681
Cl 0.250 0.499 0.858
Cl 0.750 0.180 0.546
Cl 0.750 0.640 0.142
Cl 0.250 0.112 0.174
Cl 0.250 0.635 0.454
Cl 0.750 0.938 0.826
Li 0.750 0.619 0.886
Li 0.250 0.733 0.114

***

VASP calculation (PBE) on a relaxed structure of Ba2TiF7.

## Properties
- Symmetry: C2/c
- E_form (uncorrected): -35.53 eV/f.u.
- Uncorrected energy: -6.04 eV per atom
- Spin magnetization: 2.000 μB/cell

Unit cell a=6.524 b=7.731 c=7.643 alpha=73.01 beta=64.74 gamma=65.04
Fractional coordinates of all 20 atoms:
F 0.070 0.980 0.669
F 0.719 0.520 0.831
F 0.930 0.020 0.331
F 0.323 0.205 0.574
F 0.237 0.845 0.975
F 0.944 0.345 0.475
F 0.103 0.295 0.926
F 0.897 0.705 0.074
F 0.763 0.155 0.025
F 0.677 0.795 0.426
F 0.382 0.750 0.250
F 0.056 0.655 0.525
F 0.281 0.480 0.169
F 0.618 0.250 0.750
Ti 0.940 0.250 0.750
Ti 0.060 0.750 0.250
Ba 0.290 0.583 0.777
Ba 0.350 0.083 0.277
Ba 0.650 0.917 0.723
Ba 0.710 0.417 0.223